## PrNd2Ru (PBE-GGA)

Data for a geometry-optimized PrNd2Ru structure.

Cell and atoms, written as CIF:
```
data_PrNd2Ru
_symmetry_space_group_name_H-M 'P n m a'
_symmetry_Int_Tables_number 62
_cell_length_a 7.442
_cell_length_b 9.802
_cell_length_c 6.514
_cell_angle_alpha 90.00
_cell_angle_beta 90.00
_cell_angle_gamma 90.00
loop_
_symmetry_equiv_pos_as_xyz
'x,y,z'
'-x,-y,-z'
'-x+1/2,-y,z+1/2'
'x+1/2,y,-z+1/2'
'x+1/2,-y+1/2,-z+1/2'
'-x+1/2,y+1/2,z+1/2'
'-x,y+1/2,-z'
'x,-y+1/2,z'
loop_
_atom_site_label
_atom_site_type_symbol
_atom_site_fract_x
_atom_site_fract_y
_atom_site_fract_z
Pr1 Pr 0.042 0.250 0.145
Nd1 Nd 0.176 0.068 0.670
Ru1 Ru 0.115 0.750 0.443
```

Output
magnetic moment: 0.000 μB/f.u.
DOS(E_F): 16.36 states/eV/cell
energy relative to the elements: -0.7 eV per formula unit
total DFT energy (no corrections): -97.29 eV per cell

***

## PrNdRu4 (PBE-GGA)

Data for a geometry-optimized PrNdRu4 structure.

Cell and atoms, written as CIF:
```
data_PrNdRu4
_symmetry_space_group_name_H-M 'F -4 3 m'
_symmetry_Int_Tables_number 216
_symmetry_space_group_name_Hall 'F -4 2 3'
_cell_length_a 7.686
_cell_length_b 7.686
_cell_length_c 7.686
_cell_angle_alpha 90.00
_cell_angle_beta 90.00
_cell_angle_gamma 90.00
loop_
_atom_site_label
_atom_site_type_symbol
_atom_site_fract_x
_atom_site_fract_y
_atom_site_fract_z
Pr1 Pr 0.000 0.000 0.000
Nd1 Nd 0.250 0.250 0.250
Ru1 Ru 0.125 0.125 0.625
```

Output
magnetic moment: 0.000 μB/f.u.
DOS(E_F): 31.39 states/eV/cell
energy relative to the elements: -0.7 eV per formula unit
total DFT energy (no corrections): -189.46 eV per cell

***

## PrNd2Ru (PBE-GGA)

Data for a geometry-optimized PrNd2Ru structure.

Cell and atoms, written as CIF:
```
data_PrNd2Ru
_symmetry_space_group_name_H-M 'R -3 m'
_symmetry_Int_Tables_number 166
_symmetry_space_group_name_Hall '-R 3 2"'
_cell_length_a 3.7959
_cell_length_b 3.7959
_cell_length_c 32.0528
_cell_angle_alpha 90.00
_cell_angle_beta 90.00
_cell_angle_gamma 120.00
loop_
_atom_site_label
_atom_site_type_symbol
_atom_site_fract_x
_atom_site_fract_y
_atom_site_fract_z
Pr1 Pr 0.0000 0.0000 0.0000
Nd1 Nd 0.0000 0.0000 0.1123
Ru1 Ru 0.0000 0.0000 0.5000
```

Output
magnetic moment: 0.002 μB/f.u.
DOS(E_F): 15.33 states/eV/cell
energy relative to the elements: 0.7 eV per formula unit
total DFT energy (no corrections): -68.67 eV per cell

***

## PrNdRu2 (PBE-GGA)

Data for a geometry-optimized PrNdRu2 structure.

Cell and atoms, written as CIF:
```
data_PrNdRu2
_symmetry_space_group_name_H-M 'P 4/m m m'
_symmetry_Int_Tables_number 123
_symmetry_space_group_name_Hall '-P 4 2'
_cell_length_a 4.977
_cell_length_b 4.977
_cell_length_c 3.534
_cell_angle_alpha 90.00
_cell_angle_beta 90.00
_cell_angle_gamma 90.00
loop_
_atom_site_label
_atom_site_type_symbol
_atom_site_fract_x
_atom_site_fract_y
_atom_site_fract_z
Pr1 Pr 0.000 0.000 0.000
Nd1 Nd 0.500 0.500 0.000
Ru1 Ru 0.000 0.500 0.500
```

Output
magnetic moment: 0.000 μB/f.u.
DOS(E_F): 3.09 states/eV/cell
energy relative to the elements: -0.1 eV per formula unit
total DFT energy (no corrections): -28.23 eV per cell

***

## Pr4NdRu (PBE-GGA)

Data for a geometry-optimized Pr4NdRu structure.

Cell and atoms, written as CIF:
```
data_Pr4NdRu
_symmetry_space_group_name_H-M 'I m m m'
_symmetry_Int_Tables_number 71
_symmetry_space_group_name_Hall '-I 2 2'
_cell_length_a 6.150
_cell_length_b 7.675
_cell_length_c 16.731
_cell_angle_alpha 90.00
_cell_angle_beta 90.00
_cell_angle_gamma 90.00
loop_
_atom_site_label
_atom_site_type_symbol
_atom_site_fract_x
_atom_site_fract_y
_atom_site_fract_z
Pr1 Pr 0.000 0.000 0.171
Pr2 Pr 0.000 0.253 0.386
Pr3 Pr 0.000 0.293 0.000
Nd1 Nd 0.000 0.500 0.200
Ru1 Ru 0.239 0.500 0.500
```

Output
magnetic moment: 0.000 μB/f.u.
DOS(E_F): 34.02 states/eV/cell
energy relative to the elements: -0.2 eV per formula unit
total DFT energy (no corrections): -133.26 eV per cell

***

## Pr2Nd3Ru2 (PBE-GGA)

Data for a geometry-optimized Pr2Nd3Ru2 structure.

Cell and atoms, written as CIF:
```
data_Pr2Nd3Ru2
_symmetry_space_group_name_H-M 'C 1 2/m 1'
_symmetry_Int_Tables_number 12
_cell_length_a 12.440
_cell_length_b 3.961
_cell_length_c 9.079
_cell_angle_alpha 90.00
_cell_angle_beta 114.90
_cell_angle_gamma 90.00
loop_
_symmetry_equiv_pos_as_xyz
'x,y,z'
'-x,-y,-z'
'-x,y,-z'
'x,-y,z'
'x+1/2,y+1/2,z'
'-x+1/2,-y+1/2,-z'
'-x+1/2,y+1/2,-z'
'x+1/2,-y+1/2,z'
loop_
_atom_site_label
_atom_site_type_symbol
_atom_site_fract_x
_atom_site_fract_y
_atom_site_fract_z
Pr1 Pr 0.169 0.000 0.307
Nd1 Nd 0.000 0.500 0.500
Nd2 Nd 0.120 0.500 0.924
Ru1 Ru 0.181 0.000 0.736
```

Output
magnetic moment: 0.000 μB/f.u.
DOS(E_F): 10.69 states/eV/cell
energy relative to the elements: -1.3 eV per formula unit
total DFT energy (no corrections): -87.44 eV per cell